The following is a PBE calculation of crystalline Li2PuMnS4 at its relaxed geometry, from the Alexandria database.

Lattice parameters (Å, degrees): 6.426 3.815 6.452 90.00 109.25 90.00
Fractional positions:
Li 0.000 0.000 0.000
Li 0.500 0.500 0.000
Pu 0.000 0.500 0.500
Mn 0.500 0.000 0.500
S 0.262 0.000 0.748
S 0.269 0.500 0.261
S 0.731 0.500 0.739
S 0.738 0.000 0.252

Calculated values
- Uncorrected formation energy: -1.19 eV/atom
- Energy: -6.67 eV/atom
- Space group: P2/m, No. 10

---

The following is a PBE calculation of crystalline Li3PuMn2S6 at its relaxed geometry, from the Alexandria database.

Lattice parameters (Å, degrees): 6.364 6.364 6.437 99.46 99.46 120.05
Fractional positions:
Li 0.000 0.000 0.000
Li 0.336 0.664 0.000
Li 0.664 0.336 0.000
Pu 0.500 0.500 0.500
Mn 0.167 0.833 0.500
Mn 0.833 0.167 0.500
S 0.066 0.420 0.261
S 0.227 0.227 0.740
S 0.420 0.066 0.261
S 0.580 0.934 0.739
S 0.773 0.773 0.260
S 0.934 0.580 0.739

Calculated values
- Uncorrected formation energy: -1.08 eV/atom
- Energy: -6.35 eV/atom
- Space group: C2/m, No. 12

---

The following is a PBE calculation of crystalline LiPuMnSb at its relaxed geometry, from the Alexandria database.

Lattice parameters (Å, degrees): 6.541 6.541 6.541 90.00 90.00 90.00
Fractional positions:
Li 0.000 0.000 0.000
Li 0.000 0.500 0.500
Li 0.500 0.000 0.500
Li 0.500 0.500 0.000
Pu 0.250 0.250 0.250
Pu 0.250 0.750 0.750
Pu 0.750 0.250 0.750
Pu 0.750 0.750 0.250
Mn 0.000 0.000 0.500
Mn 0.000 0.500 0.000
Mn 0.500 0.000 0.000
Mn 0.500 0.500 0.500
Sb 0.250 0.250 0.750
Sb 0.250 0.750 0.250
Sb 0.750 0.250 0.250
Sb 0.750 0.750 0.750

Calculated values
- Uncorrected formation energy: -0.04 eV/atom
- Energy: -7.43 eV/atom
- Space group: F-43m, No. 216

---

The following is a PBE calculation of crystalline LiPuScMn at its relaxed geometry, from the Alexandria database.

Lattice parameters (Å, degrees): 6.742 6.742 6.742 90.00 90.00 90.00
Fractional positions:
Li 0.000 0.000 0.000
Li 0.000 0.500 0.500
Li 0.500 0.000 0.500
Li 0.500 0.500 0.000
Pu 0.250 0.250 0.250
Pu 0.250 0.750 0.750
Pu 0.750 0.250 0.750
Pu 0.750 0.750 0.250
Sc 0.250 0.250 0.750
Sc 0.250 0.750 0.250
Sc 0.750 0.250 0.250
Sc 0.750 0.750 0.750
Mn 0.000 0.000 0.500
Mn 0.000 0.500 0.000
Mn 0.500 0.000 0.000
Mn 0.500 0.500 0.500

Calculated values
- Calculated formation energy: 145 meV per atom
- Energy: -7.79 eV/atom
- Space group: F-43m, No. 216

---

The following is a PBE calculation of crystalline Li3Pu2MnSe6 at its relaxed geometry, from the Alexandria database.

Lattice parameters (Å, degrees): 6.927 6.927 6.816 99.70 99.70 120.04
Fractional positions:
Li 0.000 0.000 0.000
Li 0.335 0.665 0.000
Li 0.665 0.335 0.000
Pu 0.167 0.833 0.500
Pu 0.833 0.167 0.500
Mn 0.500 0.500 0.500
Se 0.098 0.417 0.250
Se 0.265 0.265 0.746
Se 0.417 0.098 0.250
Se 0.583 0.902 0.750
Se 0.735 0.735 0.254
Se 0.902 0.583 0.750

Calculated values
- Uncorrected formation energy: -1.18 eV/atom
- Energy: -6.55 eV/atom
- Space group: C2/m, No. 12

---

The following is a PBE calculation of crystalline Li4Pu3MnSe8 at its relaxed geometry, from the Alexandria database.

Lattice parameters (Å, degrees): 7.926 7.926 7.926 61.40 61.40 61.40
Fractional positions:
Li 0.000 0.000 0.000
Li 0.000 0.500 0.500
Li 0.500 0.000 0.500
Li 0.500 0.500 0.000
Pu 0.000 0.000 0.500
Pu 0.000 0.500 0.000
Pu 0.500 0.000 0.000
Mn 0.500 0.500 0.500
Se 0.252 0.252 0.252
Se 0.258 0.258 0.737
Se 0.258 0.737 0.258
Se 0.263 0.742 0.742
Se 0.737 0.258 0.258
Se 0.742 0.263 0.742
Se 0.742 0.742 0.263
Se 0.748 0.748 0.748

Calculated values
- Uncorrected formation energy: -1.23 eV/atom
- Energy: -6.71 eV/atom
- Space group: R-3m, No. 166

---

The following is a PBE calculation of crystalline LiPu2MnSe5 at its relaxed geometry, from the Alexandria database.

Lattice parameters (Å, degrees): 8.510 8.510 12.142 90.00 90.00 152.63
Fractional positions:
Li 0.206 0.794 0.500
Li 0.794 0.206 0.000
Pu 0.105 0.895 0.179
Pu 0.147 0.853 0.788
Pu 0.853 0.147 0.288
Pu 0.895 0.105 0.679
Mn 0.473 0.527 0.942
Mn 0.527 0.473 0.442
Se 0.052 0.948 0.555
Se 0.279 0.721 0.153
Se 0.334 0.666 0.847
Se 0.374 0.626 0.485
Se 0.484 0.516 0.253
Se 0.516 0.484 0.753
Se 0.626 0.374 0.985
Se 0.666 0.334 0.347
Se 0.721 0.279 0.653
Se 0.948 0.052 0.055

Calculated values
- Uncorrected formation energy: -1.09 eV/atom
- Energy: -7.44 eV/atom
- Space group: Cmc2_1, No. 36

---

The following is a PBE calculation of crystalline Li2PuMnSe4 at its relaxed geometry, from the Alexandria database.

Lattice parameters (Å, degrees): 6.696 3.962 6.837 90.00 109.24 90.00
Fractional positions:
Li 0.000 0.000 0.000
Li 0.500 0.500 0.000
Pu 0.000 0.500 0.500
Mn 0.500 0.000 0.500
Se 0.263 0.000 0.753
Se 0.273 0.500 0.261
Se 0.727 0.500 0.739
Se 0.737 0.000 0.247

Calculated values
- Uncorrected formation energy: -1.04 eV/atom
- Energy: -6.20 eV/atom
- Space group: P2/m, No. 10

---

The following is a PBE calculation of crystalline LiPuMnTc at its relaxed geometry, from the Alexandria database.

Lattice parameters (Å, degrees): 6.234 6.234 6.234 90.00 90.00 90.00
Fractional positions:
Li 0.000 0.000 0.000
Li 0.000 0.500 0.500
Li 0.500 0.000 0.500
Li 0.500 0.500 0.000
Pu 0.000 0.000 0.500
Pu 0.000 0.500 0.000
Pu 0.500 0.000 0.000
Pu 0.500 0.500 0.500
Mn 0.250 0.250 0.250
Mn 0.250 0.750 0.750
Mn 0.750 0.250 0.750
Mn 0.750 0.750 0.250
Tc 0.250 0.250 0.750
Tc 0.250 0.750 0.250
Tc 0.750 0.250 0.250
Tc 0.750 0.750 0.750

Calculated values
- Calculated formation energy: 199 meV per atom
- Energy: -8.75 eV/atom
- Space group: F-43m, No. 216

---

The following is a PBE calculation of crystalline RbLiMn3 at its relaxed geometry, from the Alexandria database.

Lattice parameters (Å, degrees): 5.028 5.028 5.028 90.00 90.00 90.00
Fractional positions:
Rb 0.000 0.000 0.000
Li 0.500 0.500 0.500
Mn 0.000 0.500 0.500
Mn 0.500 0.000 0.500
Mn 0.500 0.500 0.000

Calculated values
- Calculated formation energy: 1218 meV per atom
- Energy: -4.86 eV/atom
- Space group: Pm-3m, No. 221

---

The following is a PBE calculation of crystalline RbLiMn3 at its relaxed geometry, from the Alexandria database.

Lattice parameters (Å, degrees): 5.773 5.773 5.773 90.00 90.00 90.00
Fractional positions:
Rb 0.000 0.000 0.000
Li 0.500 0.500 0.500
Mn 0.000 0.000 0.500
Mn 0.000 0.500 0.000
Mn 0.500 0.000 0.000

Calculated values
- Calculated formation energy: 2127 meV per atom
- Energy: -3.95 eV/atom
- Space group: Pm-3m, No. 221

---

The following is a PBE calculation of crystalline Rb3LiMn at its relaxed geometry, from the Alexandria database.

Lattice parameters (Å, degrees): 7.101 7.101 7.101 90.00 90.00 90.00
Fractional positions:
Rb 0.000 0.000 0.500
Rb 0.000 0.500 0.000
Rb 0.500 0.000 0.000
Li 0.500 0.500 0.500
Mn 0.000 0.000 0.000

Calculated values
- Calculated formation energy: 744 meV per atom
- Energy: -2.05 eV/atom
- Space group: Pm-3m, No. 221